Entry 1:
YGe2TeC: relaxed, PBE.

Output
The calculation puts the final energy at -19.22 eV per formula unit.

Unit cell a=5.6068 b=5.6068 c=5.6768 alpha=90.00 beta=90.00 gamma=90.00
Closest atoms and distances in Å follow each position.
Fractional positions:
C 0.5000 0.5000 0.5000  4 Te 3.96, 8 Ge 3.99
Y 0.0000 0.0000 0.0000  4 Ge 2.80, 2 Te 2.84
Ge 0.5000 0.0000 0.0000  2 Y 2.80
Ge 0.0000 0.5000 0.0000  2 Y 2.80
Te 0.0000 0.0000 0.5000  2 Y 2.84

---

Entry 2:
ZnTe3: relaxed, PBE.

Output
The calculation puts the final energy at -10.74 eV per formula unit.

Unit cell a=6.3863 b=8.3550 c=8.5293 alpha=90.00 beta=90.00 gamma=90.00
Closest atoms and distances in Å follow each position.
Fractional positions:
Zn 0.1803 0.4998 0.2500  5 Te 2.79-2.87
Zn 0.3197 0.9998 0.2500  5 Te 2.79-2.87
Zn 0.6803 0.0002 0.7500  5 Te 2.79-2.87
Zn 0.8197 0.5002 0.7500  5 Te 2.79-2.87
Te 0.2503 0.7499 0.4752  2 Zn 2.87, 2 Te 3.14
Te 0.2503 0.7499 0.0248  2 Zn 2.87, 2 Te 3.14
Te 0.7569 0.0004 0.2500  1 Zn 2.79
Te 0.7497 0.2501 0.9752  2 Zn 2.87, 2 Te 3.14
Te 0.7497 0.2501 0.5248  2 Zn 2.87, 2 Te 3.14
Te 0.7503 0.7501 0.9752  2 Zn 2.87, 2 Te 3.14
Te 0.7431 0.5004 0.2500  1 Zn 2.79
Te 0.2569 0.4996 0.7500  1 Zn 2.79
Te 0.2497 0.2499 0.0248  2 Zn 2.87, 2 Te 3.14
Te 0.2497 0.2499 0.4752  2 Zn 2.87, 2 Te 3.14
Te 0.7503 0.7501 0.5248  2 Zn 2.87, 2 Te 3.14
Te 0.2431 0.9996 0.7500  1 Zn 2.79

---

Entry 3:
MgTlGa2Cu: relaxed, PBE.

Output
For the energy of formation, the calculation gives 0.070 eV/atom.

Unit cell a=4.7108 b=4.7108 c=5.0469 alpha=90.00 beta=90.00 gamma=90.00
Closest atoms and distances in Å follow each position.
Fractional positions:
Mg 0.0000 0.0000 0.5000  2 Cu 2.52
Cu 0.0000 0.0000 0.0000  4 Ga 2.36, 2 Mg 2.52
Tl 0.5000 0.5000 0.5000  4 Mg 3.33, 8 Ga 3.45
Ga 0.0000 0.5000 0.0000  2 Cu 2.36
Ga 0.5000 0.0000 0.0000  2 Cu 2.36

---

Entry 4:
PmBiRh: relaxed, PBE.

Output
For the energy of formation, the calculation gives -0.385 eV/atom. Its energy above the most stable polymorph in this dataset is 7.64 kcal/mol of atoms.

Unit cell a=3.9187 b=3.9187 c=5.6708 alpha=110.21 beta=110.21 gamma=90.00
Closest atoms and distances in Å follow each position.
Fractional positions:
Bi 0.6231 0.6231 0.2463  1 Rh 2.91, 1 Pm 3.10
Pm 0.3101 0.3101 0.6201  4 Rh 2.97, 1 Bi 3.10
Rh 0.9168 0.9168 0.8336  1 Bi 2.91, 4 Pm 2.97

---

Entry 5:
Na2Cd5GaAu2: relaxed, PBE.

Output
For the energy of formation, the calculation gives -0.158 eV/atom.

Unit cell a=4.2387 b=10.4636 c=10.4636 alpha=90.00 beta=90.00 gamma=90.00
Closest atoms and distances in Å follow each position.
Fractional positions:
Ga 0.0000 0.0000 0.0000  8 Cd 3.03
Ga 0.0000 0.5000 0.5000  8 Cd 3.03
Na 0.0000 0.8276 0.6724  3 Au 2.98-3.16, 2 Cd 3.32
Na 0.0000 0.3276 0.8276  3 Au 2.98-3.16, 2 Cd 3.32
Na 0.0000 0.6724 0.1724  3 Au 2.98-3.16, 2 Cd 3.32
Na 0.0000 0.1724 0.3276  3 Au 2.98-3.16, 2 Cd 3.32
Cd 0.5000 0.5668 0.6966  2 Au 2.88, 2 Ga 3.03, 2 Cd 3.07
Cd 0.5000 0.9332 0.1966  2 Au 2.88, 2 Ga 3.03, 2 Cd 3.07
Cd 0.5000 0.0000 0.5000  4 Au 2.83
Cd 0.5000 0.4332 0.3034  2 Au 2.88, 2 Ga 3.03, 2 Cd 3.07
Cd 0.5000 0.8034 0.9332  2 Au 2.88, 2 Ga 3.03, 2 Cd 3.07
Cd 0.5000 0.0668 0.8034  2 Au 2.88, 2 Ga 3.03, 2 Cd 3.07
Cd 0.5000 0.1966 0.0668  2 Au 2.88, 2 Ga 3.03, 2 Cd 3.07
Cd 0.5000 0.3034 0.5668  2 Au 2.88, 2 Ga 3.03, 2 Cd 3.07
Cd 0.5000 0.6966 0.4332  2 Au 2.88, 2 Ga 3.03, 2 Cd 3.07
Cd 0.5000 0.5000 0.0000  4 Au 2.83
Au 0.0000 0.6264 0.8736  6 Cd 2.83-2.88, 3 Na 2.98-3.16
Au 0.0000 0.8736 0.3736  6 Cd 2.83-2.88, 3 Na 2.98-3.16
Au 0.0000 0.1264 0.6264  6 Cd 2.83-2.88, 3 Na 2.98-3.16
Au 0.0000 0.3736 0.1264  6 Cd 2.83-2.88, 3 Na 2.98-3.16

---

Entry 6:
KTcRu4: relaxed, PBE.

Output
For the energy of formation, the calculation gives 1.022 eV/atom.

Unit cell a=5.1985 b=5.1985 c=5.1985 alpha=60.00 beta=60.00 gamma=60.00
Closest atoms and distances in Å follow each position.
Fractional positions:
K 0.0000 0.0000 0.0000  12 Ru 3.05, 4 Tc 3.18
Ru 0.3755 0.3755 0.3755  6 Ru 2.59-2.61
Ru 0.3755 0.8735 0.3755  6 Ru 2.59-2.61
Ru 0.8735 0.3755 0.3755  6 Ru 2.59-2.61
Ru 0.3755 0.3755 0.8735  6 Ru 2.59-2.61
Tc 0.7500 0.7500 0.7500  12 Ru 3.05, 4 K 3.18

---

Entry 7:
Sb2MoBr: relaxed, PBE.

Output
Its energy above the most stable polymorph in this dataset is 3.07 kcal/mol of atoms.

Unit cell a=3.5207 b=5.8848 c=5.8853 alpha=54.91 beta=90.00 gamma=90.00
Closest atoms and distances in Å follow each position.
Fractional positions:
Sb 0.0000 0.9478 0.9480  2 Mo 2.70, 2 Br 2.96
Sb 0.5000 0.2403 0.2401  2 Mo 2.72
Br 0.0000 0.5603 0.5604  2 Mo 2.66, 2 Sb 2.96
Mo 0.5000 0.7516 0.7514  2 Br 2.66, 4 Sb 2.70-2.72

---

Entry 8:
Zn2CrIn: relaxed, PBE.

Output
For the energy of formation, the calculation gives 0.197 eV/atom.

Unit cell a=5.0215 b=5.0215 c=5.0215 alpha=132.38 beta=132.37 gamma=69.63
Closest atoms and distances in Å follow each position.
Fractional positions:
In 0.2500 0.7500 0.5000  8 Zn 2.87-2.89, 4 Cr 2.89
Zn 0.9999 0.9999 0.0000  4 Cr 2.87, 4 Zn 2.89, 4 In 2.89
Zn 0.7501 0.2501 0.5000  4 In 2.87, 4 Zn 2.89, 4 Cr 2.89
Cr 0.5000 0.5000 0.0000  8 Zn 2.87-2.89, 4 In 2.89

---

Entry 9:
Cs2LiAu2: relaxed, PBE.

Output
For the energy of formation, the calculation gives 0.107 eV/atom. Its energy above the most stable polymorph in this dataset is 9.20 kcal/mol of atoms.

Unit cell a=6.5458 b=6.5458 c=7.6912 alpha=64.82 beta=64.82 gamma=90.00
Closest atoms and distances in Å follow each position.
Fractional positions:
Cs 0.3421 0.3421 0.3157  4 Au 3.46, 1 Cs 3.88
Cs 0.6579 0.6579 0.6843  4 Au 3.46, 1 Cs 3.88
Li 0.0000 0.0000 0.0000  2 Cs 4.20, 8 Au 4.49
Au 0.7500 0.2500 0.5000  4 Cs 3.46
Au 0.2500 0.7500 0.5000  4 Cs 3.46

---

Entry 10:
Ba3NpTc2N6: relaxed, PBE.

Output
The calculation puts the final energy at -97.23 eV per formula unit.

Unit cell a=6.2042 b=6.2042 c=7.3077 alpha=90.00 beta=90.00 gamma=120.00
Closest atoms and distances in Å follow each position.
Fractional positions:
Np 0.0000 0.0000 0.5000  6 N 2.28
Ba 0.0000 0.0000 0.0000  6 N 2.89
Ba 0.3333 0.6667 0.7049  9 N 3.10-3.39, 1 Tc 3.34
Ba 0.6667 0.3333 0.2951  9 N 3.10-3.39, 1 Tc 3.34
N 0.1677 0.3354 0.3097  1 Tc 1.84
N 0.1677 0.8323 0.3097  1 Tc 1.84
N 0.8323 0.6646 0.6903  1 Tc 1.84
N 0.3354 0.1677 0.6903  1 Tc 1.84
N 0.6646 0.8323 0.3097  1 Tc 1.84
N 0.8323 0.1677 0.6903  1 Tc 1.84
Tc 0.3333 0.6667 0.2478  3 N 1.84
Tc 0.6667 0.3333 0.7522  3 N 1.84

---

Entry 11:
LaPmAu: relaxed, PBE.

Output
For the energy of formation, the calculation gives -0.545 eV/atom. Its energy above the most stable polymorph in this dataset is 0.00 kcal/mol of atoms.

Unit cell a=5.0582 b=7.5526 c=14.1917 alpha=87.49 beta=90.00 gamma=90.00
Closest atoms and distances in Å follow each position.
Fractional positions:
Au 0.7500 0.2797 0.7433  3 Pm 2.94-3.01
Au 0.2500 0.2575 0.4379  4 Pm 3.01-3.11, 3 La 3.20-3.29
Au 0.2500 0.7203 0.2567  3 Pm 2.94-3.01
Au 0.7500 0.7425 0.5621  4 Pm 3.01-3.11, 3 La 3.20-3.29
Au 0.7500 0.2119 0.0992  5 Pm 2.97-3.23, 2 La 3.00-3.04
Au 0.2500 0.7881 0.9008  5 Pm 2.97-3.23, 2 La 3.00-3.04
Pm 0.2500 0.8591 0.4527  4 Au 3.01-3.08
Pm 0.7500 0.6620 0.7786  4 Au 2.95-3.23
Pm 0.2500 0.3380 0.2214  4 Au 2.95-3.23
Pm 0.7500 0.0441 0.9137  4 Au 2.94-3.19
Pm 0.7500 0.1409 0.5473  4 Au 3.01-3.08
Pm 0.2500 0.9559 0.0863  4 Au 2.94-3.19
La 0.2500 0.4842 0.6236  5 Au 3.20-3.38
La 0.7500 0.9957 0.2852  3 Au 3.04-3.31
La 0.7500 0.6087 0.0787  1 Au 3.00
La 0.2500 0.0043 0.7148  3 Au 3.04-3.31
La 0.7500 0.5158 0.3764  5 Au 3.20-3.38
La 0.2500 0.3913 0.9213  1 Au 3.00

---

Number 1: spin magnetization 1.89 μB per cell, Fermi-level density of states 6.51 states/eV/cell. Number 2: spin magnetization 0.00 μB per cell, Fermi-level density of states 7.16 states/eV/cell. Number 3: spin magnetization 0.00 μB per cell, Fermi-level density of states 3.28 states/eV/cell. Number 4: spin magnetization 0.00 μB per cell, Fermi-level density of states 1.12 states/eV/cell. Number 5: spin magnetization 0.00 μB per cell, Fermi-level density of states 7.11 states/eV/cell. Number 6: spin magnetization 0.02 μB per cell, Fermi-level density of states 10.63 states/eV/cell. Number 7: spin magnetization 0.00 μB per cell, Fermi-level density of states 3.51 states/eV/cell. Number 8: spin magnetization 3.46 μB per cell, Fermi-level density of states 2.07 states/eV/cell. Number 9: spin magnetization 0.81 μB per cell, Fermi-level density of states 0.95 states/eV/cell. Number 10: spin magnetization 4.15 μB per cell, Fermi-level density of states 10.82 states/eV/cell. Number 11: spin magnetization 0.00 μB per cell, Fermi-level density of states 18.03 states/eV/cell.